Material: KTl3
Method: DFT, meta-GGA SCAN
State: PBEsol geometry

abc: 3.715 3.715 10.477
angles: 90.00 90.00 120.00
Positions (direct):
K 0.000 0.000 0.000
Tl 0.000 0.000 0.500
Tl 0.333 0.667 0.274
Tl 0.333 0.667 0.726

## Properties
Calculated total energy = -225.576 eV/cell

Material: Co2Pt
Method: DFT, meta-GGA SCAN
State: PBEsol geometry

abc: 11.245 11.245 11.245
angles: 161.37 161.37 26.46
Positions (direct):
Co 0.125 0.375 0.750
Co 0.295 0.545 0.750
Co 0.375 0.125 0.250
Co 0.455 0.705 0.750
Co 0.545 0.295 0.250
Co 0.625 0.875 0.750
Co 0.705 0.455 0.250
Co 0.875 0.625 0.250
Pt 0.044 0.794 0.250
Pt 0.206 0.956 0.250
Pt 0.794 0.044 0.750
Pt 0.956 0.206 0.750

## Properties
Calculated total energy = -420.663 eV/cell

Material: Li3MgAs
Method: DFT, meta-GGA SCAN
State: PBEsol geometry

abc: 4.825 4.825 4.825
angles: 90.00 90.00 90.00
Positions (direct):
Li 0.000 0.000 0.500
Li 0.000 0.500 0.000
Li 0.500 0.000 0.000
Mg 0.500 0.500 0.500
As 0.000 0.000 0.000

## Properties
Calculated total energy = -33.729 eV/cell

Material: KTe2Se
Method: DFT, meta-GGA SCAN
State: PBEsol geometry

abc: 6.969 6.969 6.969
angles: 142.49 142.49 54.09
Positions (direct):
K 0.000 0.000 0.000
Te 0.274 0.274 0.000
Te 0.726 0.726 0.000
Se 0.500 0.500 0.000

## Properties
Calculated total energy = -105.056 eV/cell
Uncorrected formation energy = -207.1 kJ/mol of formula units

Material: RbTcH3
Method: DFT, meta-GGA SCAN
State: PBEsol geometry

abc: 4.494 4.494 4.494
angles: 90.00 90.00 90.00
Positions (direct):
Rb 0.000 0.000 0.000
Tc 0.500 0.500 0.500
H 0.000 0.000 0.500
H 0.000 0.500 0.000
H 0.500 0.000 0.000

## Properties
Calculated total energy = -57.161 eV/cell

Material: GeS2F
Method: DFT, meta-GGA SCAN
State: PBEsol geometry

abc: 8.786 8.786 8.786
angles: 17.94 17.94 17.94
Positions (direct):
Ge 0.000 0.000 0.000
S 0.092 0.092 0.092
S 0.908 0.908 0.908
F 0.500 0.500 0.500

## Properties
Calculated total energy = -40.642 eV/cell
Uncorrected formation energy = 119.9 kJ/mol of formula units

Material: Al2AgBi2
Method: DFT, meta-GGA SCAN
State: PBEsol geometry

abc: 7.904 7.904 3.967
angles: 90.00 90.00 90.00
Positions (direct):
Al 0.123 0.377 0.000
Al 0.377 0.877 0.000
Al 0.623 0.123 0.000
Al 0.877 0.623 0.000
Ag 0.000 0.000 0.500
Ag 0.500 0.500 0.500
Bi 0.176 0.676 0.500
Bi 0.324 0.176 0.500
Bi 0.676 0.824 0.500
Bi 0.824 0.324 0.500

## Properties
Calculated total energy = -404.661 eV/cell

Material: SbAs2Au
Method: DFT, meta-GGA SCAN
State: PBEsol geometry

abc: 6.846 6.846 6.846
angles: 32.90 32.90 32.90
Positions (direct):
Sb 0.000 0.000 0.000
As 0.242 0.242 0.242
As 0.495 0.495 0.495
Au 0.753 0.753 0.753

## Properties
Calculated total energy = -146.823 eV/cell
Uncorrected formation energy = -2.4 kJ/mol of formula units

Material: Tb4FeSn8
Method: DFT, meta-GGA SCAN
State: PBEsol geometry

abc: 4.364 4.421 16.220
angles: 90.00 90.00 90.00
Positions (direct):
Tb 0.000 0.000 0.000
Tb 0.000 0.500 0.491
Tb 0.500 0.000 0.791
Tb 0.500 0.500 0.298
Fe 0.000 0.500 0.701
Sn 0.000 0.000 0.329
Sn 0.000 0.000 0.633
Sn 0.000 0.500 0.149
Sn 0.000 0.500 0.851
Sn 0.500 0.000 0.150
Sn 0.500 0.000 0.458
Sn 0.500 0.500 0.631
Sn 0.500 0.500 0.972

## Properties
Calculated total energy = -500.017 eV/cell

Material: Si3B
Method: DFT, meta-GGA SCAN
State: PBEsol geometry

abc: 4.988 4.988 4.398
angles: 90.00 90.00 120.00
Positions (direct):
Si 0.169 0.338 0.250
Si 0.169 0.831 0.250
Si 0.338 0.169 0.750
Si 0.662 0.831 0.250
Si 0.831 0.169 0.750
Si 0.831 0.662 0.750
B 0.333 0.667 0.750
B 0.667 0.333 0.250

## Properties
Calculated total energy = -66.676 eV/cell
Uncorrected formation energy = 399.3 kJ/mol of formula units

Material: FeNi2Ir
Method: DFT, meta-GGA SCAN
State: PBEsol geometry

abc: 4.442 4.442 4.442
angles: 132.55 132.55 69.36
Positions (direct):
Fe 0.000 0.000 0.000
Ni 0.250 0.750 0.500
Ni 0.750 0.250 0.500
Ir 0.500 0.500 0.000

## Properties
Calculated total energy = -122.102 eV/cell

Material: Na6MgCl8
Method: DFT, meta-GGA SCAN
State: PBEsol geometry

abc: 7.874 7.874 7.874
angles: 60.00 60.00 60.00
Positions (direct):
Na 0.000 0.000 0.500
Na 0.000 0.500 0.000
Na 0.000 0.500 0.500
Na 0.500 0.000 0.000
Na 0.500 0.000 0.500
Na 0.500 0.500 0.000
Mg 0.000 0.000 0.000
Cl 0.226 0.226 0.774
Cl 0.226 0.774 0.226
Cl 0.226 0.774 0.774
Cl 0.250 0.250 0.250
Cl 0.750 0.750 0.750
Cl 0.774 0.226 0.226
Cl 0.774 0.226 0.774
Cl 0.774 0.774 0.226

## Properties
Calculated total energy = -124.882 eV/cell
Uncorrected formation energy = -2971.3 kJ/mol of formula units

no.,calculated volume (Å³ per atom)
1,31.30
2,12.08
3,22.47
4,31.16
5,18.15
6,14.05
7,24.78
8,21.06
9,24.07
10,11.84
11,11.67
12,23.02